1.
Material: Na3HRh
Method: DFT, SCAN
State: PBEsol geometry

Results
Fermi-level density of states ... 0.44 states/eV/atom
Uncorrected energy ... -9.66 eV/atom
Density ... 3.2 Mg/m³

abc: 4.4796 4.4796 4.4796
angles: 90.00 90.00 90.00
Closest atoms and distances in Å follow each position.
Sites, in units of the cell vectors:
Na1 0.0000 0.0000 0.5000  2 H 2.24
Na2 0.0000 0.5000 0.0000  2 H 2.24
Na3 0.5000 0.0000 0.0000  2 H 2.24
H1 0.0000 0.0000 0.0000  6 Na 2.24
Rh1 0.5000 0.5000 0.5000  12 Na 3.17

---

2.
Material: Te2HS
Method: DFT, SCAN
State: PBEsol geometry

Results
Fermi-level density of states ... 0.48 states/eV/atom
Uncorrected energy ... -21.04 eV/atom
Density ... 6.4 Mg/m³

abc: 4.7339 4.7339 4.7339
angles: 60.00 60.00 60.00
Closest atoms and distances in Å follow each position.
Sites, in units of the cell vectors:
S1 0.5000 0.5000 0.5000  8 Te 2.90
Te1 0.2500 0.2500 0.2500  4 S 2.90, 4 H 2.90
Te2 0.7500 0.7500 0.7500  4 H 2.90, 4 S 2.90
H1 0.0000 0.0000 0.0000  8 Te 2.90

---

3.
Material: AsP2Cl
Method: DFT, SCAN
State: PBEsol geometry

Results
ΔE_f (raw) ... 0.015 eV/atom
Density ... 2.7 Mg/m³

abc: 3.2651 5.5289 6.4340
angles: 104.07 90.00 107.17
Closest atoms and distances in Å follow each position.
Sites, in units of the cell vectors:
As1 0.4173 0.8345 0.5267  1 P 2.27, 2 Cl 2.50
P1 0.3286 0.6573 0.8129  2 P 2.26, 1 As 2.27
P2 0.9810 0.9620 0.8792  2 P 2.26
Cl1 0.7731 0.5462 0.2813  2 As 2.50

---

4.
Material: Re2Os
Method: DFT, SCAN
State: PBEsol geometry

Results
Fermi-level density of states ... 1.20 states/eV/atom
Energy of formation from the pure elements ... 1.127 eV/atom
Density ... 17.9 Mg/m³

abc: 2.7144 4.3829 4.3829
angles: 90.00 90.00 90.00
Closest atoms and distances in Å follow each position.
Sites, in units of the cell vectors:
Re1 0.5000 0.0000 0.5000  4 Os 2.58, 2 Re 2.71
Re2 0.5000 0.5000 0.0000  4 Os 2.58, 2 Re 2.71
Os1 0.0000 0.0000 0.0000  8 Re 2.58, 2 Os 2.71

---

Calculated volume in A^3/atom, matching the order above: 18.0; 18.8; 26.8; 17.4